Compound: AcIn4Ni
Source: Alexandria via LeMat-Bulk
Functional: PBE
Structure: relaxed

a b c (Å): 8.979 8.979 7.449
angles (deg): 90.00 90.00 150.44
Atoms (fractional coordinates):
Ac1 0.118 0.882 0.750
Ac2 0.882 0.118 0.250
In1 0.079 0.921 0.250
In2 0.309 0.691 0.552
In3 0.309 0.691 0.948
In4 0.500 0.500 0.000
In5 0.500 0.500 0.500
In6 0.691 0.309 0.052
In7 0.691 0.309 0.448
In8 0.921 0.079 0.750
Ni1 0.228 0.772 0.250
Ni2 0.772 0.228 0.750

## Properties
- electronic total energy (eV/cell) = -46.03